Crystalline La2WO at its relaxed geometry. Source: the Alexandria database, functional PBE+U.

Computed properties:
Theoretical density in Mg/m³: 7.05
Final energy in eV per cell: -49.87
Space-group type: I-42d (122)

The structure in extended XYZ format:
```
8
Lattice="-5.538 -1.665 4.303 1.815 -6.966 -0.360 0.685 -3.832 5.437" Properties=species:S:1:pos:R:3 pbc="T T T"
O 0.319 -7.557 3.524
O -1.862 -4.316 1.971
W -3.357 -4.906 5.855
W 0.000 0.000 0.000
La -2.931 -9.706 7.564
La -2.490 -2.697 3.558
La 0.041 -5.692 2.117
La -0.695 -6.831 5.519
```